a.
# Te2PSe

A relaxed structure of Te2PSe (PBE-GGA, Alexandria via LeMat-Bulk).

Values from the calculation:
Space group ... I-42d, No. 122
Total moment ... 0.000 μB per formula unit

Structure (POSCAR):
```
Te2PSe
1.0
7.3919 0.0000 0.0000
0.0000 7.3919 0.0000
3.6959 3.6959 4.1706
P Te Se
2 4 2
Cartesian
3.6959 3.6959 0.0000
3.6959 7.3919 2.0853
5.3600 1.8480 1.0426
2.0319 5.5439 1.0426
5.5439 5.7279 3.1279
9.2399 9.0559 3.1279
0.0000 0.0000 0.0000
7.3919 3.6959 2.0853
```

b.
# Te2PSe

A relaxed structure of Te2PSe (PBE-GGA, Alexandria via LeMat-Bulk).

Values from the calculation:
Space group ... I-4m2, No. 119
Total moment ... 0.000 μB per formula unit

Structure (POSCAR):
```
Te2PSe
1.0
-8.0908 -2.3079 3.1142
-8.2341 3.0502 1.8390
7.3576 -1.0015 -5.0347
Te P Se
2 1 1
Cartesian
0.0000 0.0000 0.0000
-4.5195 1.2099 -0.3596
-8.1625 0.3712 2.4766
-4.4478 -1.4691 0.2781
```

Energies in kJ/mol of atoms, measured from the most stable structure: a 0.0; b 7.2.

a.
# Te2PSe

A relaxed structure of Te2PSe (PBE-GGA, Alexandria via LeMat-Bulk).

Values from the calculation:
Space group ... Cmm2, No. 35
Total moment ... 0.000 μB per formula unit

Structure (POSCAR):
```
Te2PSe
1.0
-3.9925 0.0120 -2.0682
3.8248 -1.9603 -1.3213
-2.1474 -6.9568 4.1051
Te P Se
2 1 1
Cartesian
-2.0895 -6.7692 3.9944
-1.6566 -6.0692 1.3118
-1.0179 -3.2977 1.9459
-0.7722 -3.2043 -0.3788
```

b.
# Te2PSe

A relaxed structure of Te2PSe (PBE-GGA, Alexandria via LeMat-Bulk).

Values from the calculation:
Space group ... R-3m, No. 166
Total moment ... 0.000 μB per formula unit

Structure (POSCAR):
```
Te2PSe
1.0
6.9972 -2.0572 -0.0103
6.9972 2.0572 -0.0103
6.3976 0.0000 3.5021
Te P Se
2 1 1
Cartesian
15.1503 0.0000 2.5866
5.2417 0.0000 0.8949
0.0000 0.0000 0.0000
10.1960 0.0000 1.7408
```

Energies in kJ/mol of atoms, measured from the most stable structure: a 17.1; b 0.0.

a.
# Th2PSe2

A relaxed structure of Th2PSe2 (PBE-GGA, Alexandria via LeMat-Bulk).

Values from the calculation:
Space group ... C2/m, No. 12
Total moment ... 0.000 μB per formula unit

Structure (POSCAR):
```
Th2PSe2
1.0
4.1427 0.0000 0.7734
2.0124 3.6360 0.7022
0.0767 0.0178 11.0706
Th P Se
2 1 2
Cartesian
3.4459 0.7640 4.5054
2.7859 2.8898 8.0409
1.0446 1.8269 5.8864
3.7001 3.3294 3.1442
2.5317 0.3244 9.4021
```

b.
# Th2PSe2

A relaxed structure of Th2PSe2 (PBE-GGA, Alexandria via LeMat-Bulk).

Values from the calculation:
Space group ... P4/mmm, No. 123
Total moment ... 0.000 μB per formula unit

Structure (POSCAR):
```
Th2PSe2
1.0
3.2181 0.0000 0.0000
0.0000 3.2181 0.0000
0.0000 0.0000 16.0101
Th P Se
2 1 2
Cartesian
1.6091 1.6091 2.8264
1.6091 1.6091 13.1837
1.6091 1.6091 0.0000
1.6091 1.6091 10.3123
1.6091 1.6091 5.6978
```

Energies in kJ/mol of atoms, measured from the most stable structure: a 0.0; b 183.8.

a.
# TiP3Se

A relaxed structure of TiP3Se (PBE-GGA, Alexandria via LeMat-Bulk).

Values from the calculation:
Space group ... Pm-3m, No. 221
Total moment ... 0.000 μB per formula unit

Structure (POSCAR):
```
TiP3Se
1.0
4.6503 0.0000 0.0000
0.0000 4.6503 0.0000
0.0000 0.0000 4.6503
P Se Ti
3 1 1
Cartesian
0.0000 2.3252 0.0000
0.0000 0.0000 2.3252
2.3252 0.0000 0.0000
0.0000 0.0000 0.0000
2.3252 2.3252 2.3252
```

b.
# TiP3Se

A relaxed structure of TiP3Se (PBE-GGA, Alexandria via LeMat-Bulk).

Values from the calculation:
Space group ... Pm-3m, No. 221
Total moment ... 0.000 μB per formula unit

Structure (POSCAR):
```
TiP3Se
1.0
-3.7006 -1.7722 2.2991
0.3287 -3.9570 -2.5210
2.8842 -1.8229 3.2373
P Se Ti
3 1 1
Cartesian
0.1644 -1.9785 -1.2605
1.4421 -0.9114 1.6186
-1.8503 -0.8861 1.1496
-0.2439 -3.7760 1.5077
0.0000 0.0000 0.0000
```

Energies in kJ/mol of atoms, measured from the most stable structure: a 48.3; b 0.0.

a.
# Ti2P2Se

A relaxed structure of Ti2P2Se (PBE-GGA, Alexandria via LeMat-Bulk).

Values from the calculation:
Space group ... P4/mbm, No. 127
Total moment ... 0.000 μB per formula unit

Structure (POSCAR):
```
Ti2P2Se
1.0
-6.5270 -0.0236 -2.2833
-1.7908 -4.2370 5.1629
-0.6762 2.6086 1.9062
P Se Ti
4 2 4
Cartesian
-2.2945 -1.3577 3.9018
-5.9965 -2.4071 4.0246
-6.6996 -0.2944 0.8840
-2.9975 0.7551 0.7612
0.0000 0.0000 0.0000
-4.1589 -2.1303 1.4398
-3.7406 -3.5759 3.5665
-6.6743 -2.8076 1.4743
-4.5773 -0.6847 -0.6868
-1.6435 -1.4530 1.4054
```

b.
# Ti2P2Se

A relaxed structure of Ti2P2Se (PBE-GGA, Alexandria via LeMat-Bulk).

Values from the calculation:
Space group ... I4/mmm, No. 139
Total moment ... 0.362 μB per formula unit

Structure (POSCAR):
```
Ti2P2Se
1.0
3.4457 0.0000 0.0000
0.0000 3.4457 0.0000
1.7228 1.7228 6.6072
P Se Ti
2 1 2
Cartesian
3.4457 1.7228 3.3036
1.7228 3.4457 3.3036
0.0000 0.0000 0.0000
1.7228 1.7228 1.4846
3.4457 3.4457 5.1226
```

Energies in kJ/mol of atoms, measured from the most stable structure: a 0.0; b 8.5.

a.
# TiP2Se6

A relaxed structure of TiP2Se6 (PBE-GGA, Alexandria via LeMat-Bulk).

Values from the calculation:
Space group ... R3, No. 146
Total moment ... 0.000 μB per formula unit

Structure (POSCAR):
```
TiP2Se6
1.0
-4.9831 1.7869 -3.7620
-5.7792 1.2949 2.6646
-1.6353 8.1241 0.4193
Ti P Se
1 2 6
Cartesian
-3.5873 1.0277 -0.3658
-9.1004 9.1236 -0.4290
-6.8830 3.1157 -0.6142
-7.2514 8.0372 -1.0579
-5.7097 7.3007 1.7654
-4.0687 7.1657 -1.0946
-4.8927 3.1017 0.4026
-6.7875 3.9640 -2.6798
-8.4786 4.0628 0.6316
```

b.
# TiP2Se6

A relaxed structure of TiP2Se6 (PBE-GGA, Alexandria via LeMat-Bulk).

Values from the calculation:
Space group ... C2/c, No. 15
Total moment ... 0.000 μB per formula unit

Structure (POSCAR):
```
TiP2Se6
1.0
6.4569 -0.1947 -0.1885
1.4493 8.8725 2.0134
1.4493 2.2998 8.8026
Ti P Se
2 4 12
Cartesian
3.0635 2.8145 8.1736
6.2919 8.1631 2.4540
3.5788 7.0929 8.1006
2.5482 2.7488 3.8950
5.7766 3.8847 2.5269
6.8073 8.2288 6.7325
5.3435 6.4467 6.7490
7.2404 3.9259 4.3086
4.0120 4.5309 3.8785
2.1150 7.0517 6.3189
6.7083 9.3405 4.6741
5.8756 5.9060 1.3491
2.6472 1.6371 5.9534
3.4799 5.0716 9.2784
2.1519 7.2072 2.4081
3.9751 8.4346 3.5964
7.2036 3.7704 8.2194
5.3803 2.5430 7.0311
```

Energies in kJ/mol of atoms, measured from the most stable structure: a 0.0; b 12.8.

a.
# TlPSe4

A relaxed structure of TlPSe4 (PBE-GGA, Alexandria via LeMat-Bulk).

Values from the calculation:
Space group ... F-43m, No. 216
Total moment ... 0.001 μB per formula unit

Structure (POSCAR):
```
TlPSe4
1.0
2.0340 -5.2349 -1.4259
-3.4813 -4.6256 0.2431
-1.7627 -2.5596 -4.8904
Tl P Se
1 1 4
Cartesian
-2.4075 -9.3151 -4.5548
0.0000 0.0000 0.0000
-0.1590 -7.2959 -2.9894
-2.0945 -5.9320 -4.7557
-2.9707 -6.9853 -2.1386
-1.1959 -4.6271 -2.2625
```

b.
# TlPSe4

A relaxed structure of TlPSe4 (PBE-GGA, Alexandria via LeMat-Bulk).

Values from the calculation:
Space group ... C2/c, No. 15
Total moment ... 0.000 μB per formula unit

Structure (POSCAR):
```
TlPSe4
1.0
12.1104 -4.9881 -0.4843
-1.2861 7.1744 3.5943
-1.3285 1.5524 5.6135
Tl P Se
2 2 8
Cartesian
8.4270 -0.1917 1.5049
1.0688 3.9304 7.2186
1.7697 0.5152 5.0989
7.7260 3.2236 3.6245
9.2494 -0.8643 5.4695
0.2923 1.9808 4.3363
5.1792 4.2733 7.4776
3.5960 0.0853 3.9191
5.8997 3.6535 4.8044
4.3166 -0.5345 1.2458
9.2034 1.7580 4.3871
0.2464 4.6030 3.2539
```

Energies in kJ/mol of atoms, measured from the most stable structure: a 68.3; b 0.0.

a.
# U2PSe3

A relaxed structure of U2PSe3 (PBE-GGA, Alexandria via LeMat-Bulk).

Values from the calculation:
Space group ... P-4m2, No. 115
Total moment ... 4.911 μB per formula unit

Structure (POSCAR):
```
U2PSe3
1.0
-1.6389 -1.4590 3.3329
1.5786 -3.5786 -0.7903
6.7631 2.0505 4.2234
U P Se
2 1 3
Cartesian
4.1584 0.7798 4.7750
2.5745 -1.2480 0.7197
-0.0302 -2.5188 1.2713
1.6452 0.0178 3.2055
5.0878 -0.4860 2.2891
0.0000 0.0000 0.0000
```

b.
# U2PSe3

A relaxed structure of U2PSe3 (PBE-GGA, Alexandria via LeMat-Bulk).

Values from the calculation:
Space group ... C2/m, No. 12
Total moment ... 2.029 μB per formula unit

Structure (POSCAR):
```
U2PSe3
1.0
-3.4751 -1.2429 -1.2702
1.0756 -4.9569 7.9045
-2.9105 8.3560 -0.2132
U P Se
4 2 6
Cartesian
-3.1124 1.6010 6.9487
-2.1977 0.5552 -0.5276
-2.7431 -1.4772 2.9534
-2.5670 3.6335 3.4677
-4.8775 2.5363 4.8657
-0.4326 -0.3801 1.5554
-1.9430 0.8806 4.4542
-3.9774 -0.9423 5.8069
-4.3737 4.6469 1.4222
-0.9364 -2.4907 4.9989
-1.3327 3.0986 0.6142
-3.3671 1.2756 1.9669
```

Energies in kJ/mol of atoms, measured from the most stable structure: a 0.0; b 9.7.

a.
# U3P2Se

A relaxed structure of U3P2Se (PBE-GGA, Alexandria via LeMat-Bulk).

Values from the calculation:
Space group ... Cmcm, No. 63
Total moment ... 2.179 μB per formula unit

Structure (POSCAR):
```
U3P2Se
1.0
-0.6094 -2.4105 -4.1861
7.0169 -2.0507 0.1593
-2.7171 -5.7044 3.6803
U P Se
6 4 2
Cartesian
-1.1758 -6.7621 -0.1821
-0.3414 -4.7711 -1.4501
2.4917 -2.6167 -0.2716
1.1987 -7.5488 -0.0748
4.0319 -5.3945 1.1037
4.8662 -3.4034 -0.1643
0.5277 -0.9518 0.4713
0.2230 -2.1571 -1.6218
3.7721 -6.8032 3.3684
3.4674 -8.0085 1.2754
0.8535 -4.9096 1.2871
2.8369 -5.2560 -1.6335
```

b.
# U3P2Se

A relaxed structure of U3P2Se (PBE-GGA, Alexandria via LeMat-Bulk).

Values from the calculation:
Space group ... Immm, No. 71
Total moment ... 6.638 μB per formula unit

Structure (POSCAR):
```
U3P2Se
1.0
6.8899 0.0004 0.0027
3.4546 5.9612 -0.0027
-4.5966 -3.9797 3.2410
P U Se
2 3 1
Cartesian
6.8582 3.9525 0.0000
3.4863 2.0092 0.0000
1.1467 -1.9896 1.6218
1.2455 2.0376 1.6192
4.5024 -0.0557 1.6218
0.0000 0.0000 0.0000
```

Energies in kJ/mol of atoms, measured from the most stable structure: a 64.9; b 0.0.

a.
# U2PSe

A relaxed structure of U2PSe (PBE-GGA, Alexandria via LeMat-Bulk).

Values from the calculation:
Space group ... R3m, No. 160
Total moment ... 5.303 μB per formula unit

Structure (POSCAR):
```
U2PSe
1.0
-0.8204 1.7352 -3.2887
-3.6299 0.5907 -0.9872
-1.3498 7.2495 1.9572
U P Se
2 1 1
Cartesian
-1.3802 5.7760 1.1874
-1.4532 2.2427 -0.6586
-4.3170 8.7833 -0.9022
-2.8996 4.8106 -1.1474
```

b.
# U2PSe

A relaxed structure of U2PSe (PBE-GGA, Alexandria via LeMat-Bulk).

Values from the calculation:
Space group ... C2/m, No. 12
Total moment ... 6.327 μB per formula unit

Structure (POSCAR):
```
U2PSe
1.0
-2.6433 -1.4773 1.6865
-1.3761 -0.9952 -3.0215
3.6046 -5.9436 0.3616
U P Se
2 1 1
Cartesian
-1.3636 -6.8204 -1.0653
0.9489 -1.5958 0.0920
-0.2074 -4.2081 -0.4867
-2.0097 -1.2363 -0.6675
```

Energies in kJ/mol of atoms, measured from the most stable structure: a 0.0; b 12.8.

a.
# V2PSe

A relaxed structure of V2PSe (PBE-GGA, Alexandria via LeMat-Bulk).

Values from the calculation:
Space group ... R-3m, No. 166
Total moment ... 0.000 μB per formula unit

Structure (POSCAR):
```
V2PSe
1.0
3.4958 0.0000 0.0000
1.7479 3.0274 0.0000
1.7479 1.0091 6.8641
P Se V
1 1 2
Cartesian
3.4958 2.0183 3.4320
0.0000 0.0000 0.0000
1.7479 1.0091 4.5718
5.2437 3.0274 2.2922
```

b.
# V2PSe

A relaxed structure of V2PSe (PBE-GGA, Alexandria via LeMat-Bulk).

Values from the calculation:
Space group ... I-42d, No. 122
Total moment ... 5.011 μB per formula unit

Structure (POSCAR):
```
V2PSe
1.0
5.6097 0.0000 0.0000
0.0000 5.6097 0.0000
2.8048 2.8048 5.5916
P Se V
2 2 4
Cartesian
2.8048 2.8048 0.0000
2.8048 5.6097 2.7958
0.0000 0.0000 0.0000
5.6097 2.8048 2.7958
4.0977 1.4024 1.3979
1.5120 4.2073 1.3979
4.2073 4.3169 4.1937
7.0121 6.9025 4.1937
```

Energies in kJ/mol of atoms, measured from the most stable structure: a 0.0; b 10.0.

a.
# V2PSe

A relaxed structure of V2PSe (PBE-GGA, Alexandria via LeMat-Bulk).

Values from the calculation:
Space group ... R3m, No. 160
Total moment ... 2.099 μB per formula unit

Structure (POSCAR):
```
V2PSe
1.0
-0.5849 -3.0161 1.5844
0.5274 -2.9700 -1.6882
5.6120 -2.0826 1.8781
V P Se
2 1 1
Cartesian
4.4139 -2.0640 1.4711
1.2049 -2.0143 0.3812
5.5677 -6.0732 1.8068
2.7572 -4.0340 0.8803
```

b.
# V2PSe

A relaxed structure of V2PSe (PBE-GGA, Alexandria via LeMat-Bulk).

Values from the calculation:
Space group ... Fm-3m, No. 225
Total moment ... 1.110 μB per formula unit

Structure (POSCAR):
```
V2PSe
1.0
0.0000 3.0199 3.0199
3.0199 0.0000 3.0199
3.0199 3.0199 0.0000
P Se V
1 1 2
Cartesian
0.0000 0.0000 0.0000
3.0199 3.0199 3.0199
1.5100 1.5100 1.5100
4.5299 4.5299 4.5299
```

Energies in kJ/mol of atoms, measured from the most stable structure: a 0.0; b 17.0.